Record 1
A plane-wave DFT calculation with PBE was carried out for an optimized crystal structure of Zn4Cu5Ni.

abc: 7.567 8.438 4.301
angles: 90.00 90.00 90.00
Atoms (fractional coordinates):
1 Zn 0.066 0.250 0.102
2 Zn 0.250 0.582 0.248
3 Zn 0.250 0.918 0.248
4 Zn 0.434 0.250 0.102
5 Zn 0.566 0.750 0.898
6 Zn 0.750 0.082 0.752
7 Zn 0.750 0.418 0.752
8 Zn 0.934 0.750 0.898
9 Cu 0.084 0.006 0.745
10 Cu 0.084 0.494 0.745
11 Cu 0.250 0.250 0.593
12 Cu 0.416 0.006 0.745
13 Cu 0.416 0.494 0.745
14 Cu 0.584 0.506 0.255
15 Cu 0.584 0.994 0.255
16 Cu 0.750 0.750 0.407
17 Cu 0.916 0.506 0.255
18 Cu 0.916 0.994 0.255
19 Ni 0.250 0.750 0.740
20 Ni 0.750 0.250 0.260

Summary:
- Formation energy: 38 meV/atom
- DOS(E_F): 3.1 states/eV/f.u.
- Crystal system: orthorhombic
- Space-group type: Pmmn (59)

Record 2
A plane-wave DFT calculation with PBE was carried out for an optimized crystal structure of DySnH.

abc: 3.631 3.631 5.092
angles: 90.00 90.00 120.00
Atoms (fractional coordinates):
1 Dy 0.000 0.000 0.000
2 Sn 0.667 0.333 0.500
3 H 0.333 0.667 0.000

Summary:
- DOS(E_F): 0.6 states/eV/f.u.
- Crystal system: hexagonal
- Space-group type: P-6m2 (187)

Record 3
A plane-wave DFT calculation with PBE was carried out for an optimized crystal structure of CoMo3.

abc: 4.790 4.790 4.810
angles: 99.83 99.83 32.67
Atoms (fractional coordinates):
1 Co 0.000 0.000 0.000
2 Mo 0.268 0.268 0.765
3 Mo 0.500 0.500 0.500
4 Mo 0.732 0.732 0.235

Summary:
- Formation energy: 223 meV/atom
- DOS(E_F): 4.1 states/eV/f.u.
- Crystal system: monoclinic
- Space-group type: C2/m (12)

Record 4
A plane-wave DFT calculation with PBE was carried out for an optimized crystal structure of La2Mn2Bi.

abc: 10.354 10.354 10.354
angles: 160.92 160.92 27.11
Atoms (fractional coordinates):
1 La 0.127 0.127 0.000
2 La 0.873 0.873 0.000
3 Mn 0.250 0.750 0.500
4 Mn 0.750 0.250 0.500
5 Bi 0.500 0.500 0.000

Summary:
- Formation energy: 120 meV/atom
- DOS(E_F): 6.8 states/eV/f.u.
- Crystal system: tetragonal
- Space-group type: I4/mmm (139)

Record 5
A plane-wave DFT calculation with PBE was carried out for an optimized crystal structure of Nd7Dy12Th.

abc: 9.822 9.822 9.822
angles: 109.47 109.47 109.47
Atoms (fractional coordinates):
1 Nd 0.000 0.000 0.500
2 Nd 0.000 0.500 0.000
3 Nd 0.000 0.500 0.500
4 Nd 0.500 0.000 0.000
5 Nd 0.500 0.000 0.500
6 Nd 0.500 0.500 0.000
7 Nd 0.500 0.500 0.500
8 Dy 0.000 0.241 0.759
9 Dy 0.000 0.759 0.241
10 Dy 0.241 0.000 0.759
11 Dy 0.241 0.241 0.483
12 Dy 0.241 0.483 0.241
13 Dy 0.241 0.759 0.000
14 Dy 0.483 0.241 0.241
15 Dy 0.517 0.759 0.759
16 Dy 0.759 0.000 0.241
17 Dy 0.759 0.241 0.000
18 Dy 0.759 0.517 0.759
19 Dy 0.759 0.759 0.517
20 Th 0.000 0.000 0.000

Summary:
- Formation energy: 666 meV/atom
- DOS(E_F): 31.9 states/eV/f.u.
- Crystal system: cubic
- Space-group type: Im-3m (229)

Record 6
A plane-wave DFT calculation with PBE was carried out for an optimized crystal structure of La4DyHo7.

abc: 6.741 6.741 12.852
angles: 113.53 113.53 52.23
Atoms (fractional coordinates):
1 La 0.089 0.089 0.291
2 La 0.362 0.362 0.225
3 La 0.638 0.638 0.775
4 La 0.911 0.911 0.709
5 Dy 0.500 0.500 0.000
6 Ho 0.000 0.000 0.000
7 Ho 0.167 0.167 0.631
8 Ho 0.211 0.211 0.918
9 Ho 0.368 0.368 0.513
10 Ho 0.632 0.632 0.487
11 Ho 0.789 0.789 0.082
12 Ho 0.833 0.833 0.369

Summary:
- Formation energy: 271 meV/atom
- DOS(E_F): 20.0 states/eV/f.u.
- Crystal system: monoclinic
- Space-group type: C2/m (12)

Record 7
A plane-wave DFT calculation with PBE was carried out for an optimized crystal structure of ZnGeSe2.

abc: 4.017 4.017 6.903
angles: 90.00 90.00 120.00
Atoms (fractional coordinates):
1 Zn 0.000 0.000 0.000
2 Ge 0.667 0.333 0.555
3 Se 0.000 0.000 0.363
4 Se 0.333 0.667 0.871

Summary:
- Uncorrected formation energy: -0.42 eV per atom
- Crystal system: trigonal
- Space-group type: P3m1 (156)

Record 8
A plane-wave DFT calculation with PBE was carried out for an optimized crystal structure of Li4LaMo.

abc: 5.422 5.422 5.422
angles: 60.00 60.00 60.00
Atoms (fractional coordinates):
1 Li 0.121 0.121 0.121
2 Li 0.121 0.121 0.636
3 Li 0.121 0.636 0.121
4 Li 0.636 0.121 0.121
5 La 0.500 0.500 0.500
6 Mo 0.750 0.750 0.750

Summary:
- Formation energy: 443 meV/atom
- DOS(E_F): 6.4 states/eV/f.u.
- Crystal system: cubic
- Space-group type: F-43m (216)

Total energy per entry: -3.0982, -4.6059, -9.6773, -6.2954, -4.1351, -4.4253, -3.6369, -3.4593 eV per atom